(1)
First-principles (GGA-PBE) data for crystalline GaAgSeN2 at its relaxed geometry, as listed in Alexandria.

abc: 3.907 3.907 5.641
angles: 90.00 90.00 90.00
Space group P4/mmm (No. 123)
Inequivalent atoms, fractional coordinates:
1 Ga 0.000 0.000 0.000 [1 per cell]
2 Ag 0.500 0.500 0.500 [1 per cell]
3 Se 0.000 0.000 0.500 [1 per cell]
4 N 0.000 0.500 0.000 [2 per cell]

Excess energy over the best structure of this formula in the dataset in eV per formula unit: 0.00

***

(2)
First-principles (GGA-PBE) data for crystalline LiPSe2 at its relaxed geometry, as listed in Alexandria.

abc: 3.467 3.730 12.271
angles: 90.00 90.00 90.00
Space group Imm2 (No. 44)
Inequivalent atoms, fractional coordinates:
1 Li 0.000 0.000 0.000 [2 per cell]
2 P 0.000 0.500 0.759 [2 per cell]
3 Se 0.000 0.000 0.408 [2 per cell]
4 Se 0.000 0.500 0.171 [2 per cell]

***

Number 1: N(E_F) 2.5 states/eV per cell, formation energy from raw total energies 111.8 kJ per mole of atoms. Number 2: N(E_F) 2.2 states/eV per cell, formation energy from raw total energies -17.2 kJ per mole of atoms.